Li2Al2Os | GGA-PBE | relaxed

- Theoretical density: 6.27 g/cm3
- Calculated volume: 68 Å³/f.u.
- ΔH_f (0 K): 0.1029 eV per atom

Cell lengths 6.9149, 6.9149, 2.8567 Å; angles 90.00, 90.00, 90.00 degrees
Closest atoms and distances in Å follow each position.
Fractional coordinates of all 10 atoms:
Li 0.3431 0.1569 0.5000  6 Al 2.41-2.53
Li 0.6569 0.8431 0.5000  6 Al 2.41-2.53
Li 0.8431 0.3431 0.5000  6 Al 2.41-2.53
Li 0.1569 0.6569 0.5000  6 Al 2.41-2.53
Os 0.5000 0.5000 0.0000  4 Al 2.65, 2 Os 2.86
Os 0.0000 0.0000 0.0000  4 Al 2.65, 2 Os 2.86
Al 0.6447 0.1447 0.0000  6 Li 2.41-2.53, 2 Os 2.65
Al 0.1447 0.3553 0.0000  6 Li 2.41-2.53, 2 Os 2.65
Al 0.3553 0.8553 0.0000  6 Li 2.41-2.53, 2 Os 2.65
Al 0.8553 0.6447 0.0000  6 Li 2.41-2.53, 2 Os 2.65

---

Pm2HoGa | GGA-PBE | relaxed

- Theoretical density: 7.14 g/cm3
- Calculated volume: 122 Å³/f.u.
- ΔH_f (0 K): -0.1552 eV per atom

Cell lengths 3.6865, 3.6865, 10.5803 Å; angles 79.97, 79.97, 60.00 degrees
Closest atoms and distances in Å follow each position.
Fractional coordinates of all 4 atoms:
Pm 0.2616 0.2616 0.2152  3 Ga 3.08
Pm 0.0718 0.0718 0.7846  3 Ga 3.09
Ga 0.6664 0.6664 0.0009  6 Pm 3.08-3.09
Ho 0.5002 0.5002 0.4994  6 Pm 3.63-3.64, 6 Ho 3.69

---

Y7Au3 | GGA-PBE | relaxed

- Theoretical density: 7.13 g/cm3
- Calculated volume: 283 Å³/f.u.
- ΔH_f (0 K): -0.5346 eV per atom

Cell lengths 10.0873, 10.0874, 6.4121 Å; angles 90.00, 90.00, 120.00 degrees
Closest atoms and distances in Å follow each position.
Fractional coordinates of all 20 atoms:
Y 0.5375 0.0749 0.3652  2 Au 2.94
Y 0.5375 0.4625 0.3652  2 Au 2.94
Y 0.4625 0.5375 0.8652  2 Au 2.94
Y 0.8715 0.1285 0.0686  3 Au 2.97-2.99
Y 0.8715 0.7430 0.0686  3 Au 2.97-2.99
Y 0.1285 0.2570 0.5686  3 Au 2.97-2.99
Y 0.0749 0.5375 0.8652  2 Au 2.94
Y 0.7430 0.8715 0.5686  3 Au 2.97-2.99
Y 0.2570 0.1285 0.0686  3 Au 2.97-2.99
Y 0.3333 0.6667 0.3878  3 Au 2.97
Y 0.1285 0.8715 0.5686  3 Au 2.97-2.99
Y 0.4625 0.9251 0.8652  2 Au 2.94
Y 0.9251 0.4625 0.3652  2 Au 2.94
Y 0.6667 0.3333 0.8878  3 Au 2.97
Au 0.1908 0.3815 0.1342  6 Y 2.94-2.99
Au 0.8092 0.1908 0.6342  6 Y 2.94-2.99
Au 0.8092 0.6185 0.6342  6 Y 2.94-2.99
Au 0.1908 0.8092 0.1342  6 Y 2.94-2.99
Au 0.3815 0.1908 0.6342  6 Y 2.94-2.99
Au 0.6185 0.8092 0.1342  6 Y 2.94-2.99

---

K2IO4F | GGA-PBE | relaxed

- Theoretical density: 3.25 g/cm3
- Calculated volume: 147 Å³/f.u.
- E_form (uncorrected): -1.052 eV/atom

Cell lengths 3.1863, 5.2089, 9.4625 Å; angles 83.93, 80.31, 72.19 degrees
Closest atoms and distances in Å follow each position.
Fractional coordinates of all 8 atoms:
O 0.6201 0.7369 0.0230  2 I 2.06
O 0.8864 0.0351 0.1921  1 I 1.81
O 0.3799 0.2631 0.9770  2 I 2.06
O 0.1136 0.9649 0.8079  1 I 1.81
K 0.1241 0.4543 0.2974  2 F 2.49
K 0.8759 0.5457 0.7026  2 F 2.49
I 0.0000 0.0000 0.0000  2 O 1.81
F 0.5000 0.5000 0.5000  4 K 2.49

---

Ac2La2Sm3 | GGA-PBE | relaxed

- Theoretical density: 7.36 g/cm3
- Calculated volume: 267 Å³/f.u.
- ΔH_f (0 K): 0.1394 eV per atom

Cell lengths 6.8880, 13.3055, 9.1994 Å; angles 90.00, 90.00, 140.74 degrees
Closest atoms and distances in Å follow each position.
Fractional coordinates of all 14 atoms:
Ac 0.7954 0.1955 0.6106  6 Sm 3.53-3.94, 2 La 3.79-3.83, 1 Ac 3.87
Ac 0.2046 0.8045 0.3894  6 Sm 3.53-3.94, 2 La 3.79-3.83, 1 Ac 3.87
Ac 0.7046 0.8045 0.1106  6 Sm 3.53-3.94, 2 La 3.79-3.83, 1 Ac 3.87
Ac 0.2954 0.1955 0.8894  6 Sm 3.53-3.94, 2 La 3.79-3.83, 1 Ac 3.87
Sm 0.1168 0.4124 0.9392  4 La 3.50-3.55, 2 Sm 3.52-3.88, 3 Ac 3.53-3.91
Sm 0.6168 0.4124 0.5608  4 La 3.50-3.55, 2 Sm 3.52-3.88, 3 Ac 3.53-3.91
Sm 0.8832 0.5876 0.0608  4 La 3.50-3.55, 2 Sm 3.52-3.88, 3 Ac 3.53-3.91
Sm 0.0000 0.0000 0.5000  2 Sm 3.52, 4 La 3.72-3.74, 2 Ac 3.93
Sm 0.3832 0.5876 0.4392  4 La 3.50-3.55, 2 Sm 3.52-3.88, 3 Ac 3.53-3.91
Sm 0.5000 0.0000 0.0000  2 Sm 3.52, 4 La 3.72-3.74, 2 Ac 3.93
La 0.6753 0.2828 0.2526  2 La 3.44, 6 Sm 3.50-3.74, 2 Ac 3.79-3.83
La 0.3247 0.7172 0.7474  2 La 3.44, 6 Sm 3.50-3.74, 2 Ac 3.79-3.83
La 0.1753 0.2828 0.2474  2 La 3.44, 6 Sm 3.50-3.74, 2 Ac 3.79-3.83
La 0.8247 0.7172 0.7526  2 La 3.44, 6 Sm 3.50-3.74, 2 Ac 3.79-3.83

---

CaRhO2 | GGA-PBE | relaxed

- Theoretical density: 5.79 g/cm3
- Calculated volume: 50 Å³/f.u.
- E_form (uncorrected): -1.507 eV/atom

Cell lengths 2.9923, 6.1718, 10.8669 Å; angles 90.00, 90.00, 90.00 degrees
Closest atoms and distances in Å follow each position.
Fractional coordinates of all 16 atoms:
O 0.2500 0.1831 0.9809  2 Rh 2.04
O 0.2500 0.6831 0.5191  2 Rh 2.04
O 0.2500 0.9017 0.2738  1 Rh 2.05
O 0.7500 0.0983 0.7262  1 Rh 2.05
O 0.7500 0.3169 0.4809  2 Rh 2.04
O 0.7500 0.5983 0.7738  1 Rh 2.05
O 0.2500 0.4017 0.2262  1 Rh 2.05
O 0.7500 0.8169 0.0191  2 Rh 2.04
Rh 0.2500 0.1261 0.4131  3 O 2.04-2.05
Rh 0.2500 0.6261 0.0869  3 O 2.04-2.05
Rh 0.7500 0.3739 0.9131  3 O 2.04-2.05
Rh 0.7500 0.8739 0.5869  3 O 2.04-2.05
Ca 0.2500 0.3772 0.6565  7 O 2.39-2.45
Ca 0.7500 0.6228 0.3435  7 O 2.39-2.45
Ca 0.7500 0.1228 0.1565  7 O 2.39-2.45
Ca 0.2500 0.8772 0.8435  7 O 2.39-2.45

---

AlPCl2 | GGA-PBE | relaxed

- Theoretical density: 2.22 g/cm3
- Calculated volume: 97 Å³/f.u.
- E_form (uncorrected): -0.430 eV/atom

Cell lengths 7.9835, 7.9835, 3.6998 Å; angles 92.87, 92.87, 24.20 degrees
Closest atoms and distances in Å follow each position.
Fractional coordinates of all 4 atoms:
P 0.7500 0.7500 0.7500  2 Cl 2.35, 4 Al 2.49
Cl 0.6131 0.6131 0.4548  1 P 2.35
Cl 0.8869 0.8869 0.0452  1 P 2.35
Al 0.2500 0.2500 0.2500  4 P 2.49

---

MoPtAu3 | GGA-PBE | relaxed

- Theoretical density: 11.44 g/cm3
- Calculated volume: 128 Å³/f.u.
- ΔH_f (0 K): 1.2806 eV per atom

Cell lengths 5.0404, 5.0404, 5.0404 Å; angles 90.00, 90.00, 90.00 degrees
Closest atoms and distances in Å follow each position.
Fractional coordinates of all 5 atoms:
Au 0.0000 0.0000 0.5000  2 Pt 2.52
Au 0.5000 0.0000 0.0000  2 Pt 2.52
Au 0.0000 0.5000 0.0000  2 Pt 2.52
Pt 0.0000 0.0000 0.0000  6 Au 2.52
Mo 0.5000 0.5000 0.5000  12 Au 3.56